No. 1
A geometry-optimized InTcAu4 structure. Source: the Alexandria database, functional GGA-PBE.

Lattice parameters (Å, degrees): 5.528 5.528 5.528 60.00 60.00 60.00
Last column: magnetic moment on the atom in μB.
Positions (direct):
Au1 0.375 0.375 0.375  0.05
Au2 0.375 0.876 0.375  0.05
Au3 0.375 0.375 0.876  0.05
Au4 0.876 0.375 0.375  0.05
Tc1 0.000 0.000 0.000  3.25
In1 0.750 0.750 0.750  0.01

Computed properties:
The value obtained for the formation energy is 39.9 kJ/mol of atoms. The space group is No. 216.

---

No. 2
A geometry-optimized InTc2Au structure. Source: the Alexandria database, functional GGA-PBE.

Lattice parameters (Å, degrees): 4.999 4.999 4.837 78.45 78.45 34.81
Positions (direct):
Tc1 0.500 0.500 0.483
Tc2 0.000 0.000 0.017
In1 0.750 0.750 0.750
Au1 0.250 0.250 0.250

Computed properties:
The value obtained for the formation energy is 36.2 kJ/mol of atoms. The space group is No. 12.

---

No. 3
A geometry-optimized InTcAu2 structure. Source: the Alexandria database, functional GGA-PBE.

Lattice parameters (Å, degrees): 5.904 5.904 5.904 151.51 131.08 57.59
Positions (direct):
In1 0.750 0.250 0.500
Tc1 0.250 0.750 0.500
Au1 0.484 0.484 0.000
Au2 0.016 0.016 0.000

Computed properties:
The value obtained for the formation energy is 27.3 kJ/mol of atoms. The space group is No. 71.

---

No. 4
A geometry-optimized InTcAu2 structure. Source: the Alexandria database, functional GGA-PBE.

Lattice parameters (Å, degrees): 5.067 5.067 5.067 130.77 130.77 72.18
Last column: magnetic moment on the atom in μB.
Positions (direct):
Au1 0.500 0.500 0.000  0.05
Au2 0.000 0.000 0.000  0.05
In1 0.250 0.750 0.500  -0.05
Tc1 0.750 0.250 0.500  1.98

Computed properties:
The value obtained for the formation energy is 27.6 kJ/mol of atoms. The space group is No. 139.

---

No. 5
A geometry-optimized InTc2Au structure. Source: the Alexandria database, functional GGA-PBE.

Lattice parameters (Å, degrees): 7.547 7.547 5.954 50.67 50.67 90.00
Last column: magnetic moment on the atom in μB.
Positions (direct):
Au1 0.000 0.000 0.000  0.03
Au2 0.750 0.250 0.500  0.03
Tc1 0.633 0.125 0.250  0.96
Tc2 0.875 0.883 0.750  0.96
Tc3 0.117 0.625 0.250  0.96
Tc4 0.375 0.367 0.750  0.96
In1 0.250 0.750 0.500  -0.02
In2 0.500 0.500 0.000  -0.02

Computed properties:
The value obtained for the formation energy is 82.4 kJ/mol of atoms. The space group is No. 122.

---

No. 6
A geometry-optimized InTc2Au structure. Source: the Alexandria database, functional GGA-PBE.

Lattice parameters (Å, degrees): 2.988 3.757 6.070 90.00 90.00 90.00
Positions (direct):
Au1 0.000 0.000 0.495
Tc1 0.000 0.000 0.036
Tc2 0.500 0.500 0.217
In1 0.500 0.500 0.752

Computed properties:
The value obtained for the formation energy is 18.1 kJ/mol of atoms. The space group is No. 25.

---

No. 7
A geometry-optimized InTc3Au structure. Source: the Alexandria database, functional GGA-PBE.

Lattice parameters (Å, degrees): 4.941 4.941 4.941 90.00 90.00 90.00
Last column: magnetic moment on the atom in μB.
Positions (direct):
Tc1 0.500 0.000 0.000  1.78
Tc2 0.000 0.000 0.500  2.86
Tc3 0.000 0.500 0.000  2.27
Au1 0.000 0.000 0.000  0.26
In1 0.500 0.500 0.500  -0.09

Computed properties:
The value obtained for the formation energy is 194.7 kJ/mol of atoms. The space group is No. 221. Its distance to the lowest polymorph of the same formula is 0 meV per atom.

---

No. 8
A geometry-optimized InTcAu2 structure. Source: the Alexandria database, functional GGA-PBE.

Lattice parameters (Å, degrees): 4.995 4.995 4.995 129.53 129.53 74.17
Last column: magnetic moment on the atom in μB.
Positions (direct):
Tc1 0.750 0.250 0.500  1.69
Au1 0.250 0.750 0.500  0.01
Au2 0.000 0.000 0.000  0.09
In1 0.500 0.500 0.000  -0.02

Computed properties:
The value obtained for the formation energy is 27.5 kJ/mol of atoms. The space group is No. 119.

---

No. 9
A geometry-optimized InTc2Au structure. Source: the Alexandria database, functional GGA-PBE.

Lattice parameters (Å, degrees): 4.881 4.881 4.881 130.07 130.07 73.30
Positions (direct):
Tc1 0.250 0.750 0.500
Tc2 0.000 0.000 0.000
Au1 0.500 0.500 0.000
In1 0.750 0.250 0.500

Computed properties:
The value obtained for the formation energy is 29.1 kJ/mol of atoms. The space group is No. 119.

---

No. 10
A geometry-optimized In3TcAu structure. Source: the Alexandria database, functional GGA-PBE.

Lattice parameters (Å, degrees): 5.186 5.186 5.186 90.00 90.00 90.00
Last column: magnetic moment on the atom in μB.
Positions (direct):
In1 0.000 0.500 0.000  -0.01
In2 0.000 0.000 0.500  -0.01
In3 0.500 0.000 0.000  0.00
Tc1 0.000 0.000 0.000  0.48
Au1 0.500 0.500 0.500  0.07

Computed properties:
The value obtained for the formation energy is 49.0 kJ/mol of atoms. The space group is No. 221. Its distance to the lowest polymorph of the same formula is 0 meV per atom.

---

No. 11
A geometry-optimized In2TcAu structure. Source: the Alexandria database, functional GGA-PBE.

Lattice parameters (Å, degrees): 3.238 4.132 5.819 90.00 90.00 90.00
Last column: magnetic moment on the atom in μB.
Positions (direct):
Tc1 0.000 0.000 0.479  1.35
In1 0.500 0.500 0.286  -0.01
In2 0.000 0.000 0.974  -0.01
Au1 0.500 0.500 0.761  0.03

Computed properties:
The value obtained for the formation energy is 24.9 kJ/mol of atoms. The space group is No. 25.

---

No. 12
A geometry-optimized InTc2Au structure. Source: the Alexandria database, functional GGA-PBE.

Lattice parameters (Å, degrees): 2.969 2.969 7.822 90.00 90.00 90.00
Positions (direct):
Tc1 0.000 0.000 0.031
Tc2 0.500 0.500 0.218
Au1 0.000 0.000 0.486
In1 0.500 0.500 0.765

Computed properties:
The value obtained for the formation energy is 7.1 kJ/mol of atoms. The space group is No. 99.

---

No. 13
A geometry-optimized In2TcAu structure. Source: the Alexandria database, functional GGA-PBE.

Lattice parameters (Å, degrees): 9.449 9.449 9.449 19.11 19.11 19.11
Last column: magnetic moment on the atom in μB.
Positions (direct):
Tc1 0.498 0.498 0.498  0.61
Au1 0.755 0.755 0.755  0.03
In1 0.005 0.005 0.005  -0.01
In2 0.243 0.243 0.243  0.00

Computed properties:
The value obtained for the formation energy is 31.4 kJ/mol of atoms. The space group is No. 160.

---

No. 14
A geometry-optimized InTcAu structure. Source: the Alexandria database, functional GGA-PBE.

Lattice parameters (Å, degrees): 6.415 6.415 6.415 153.10 153.10 38.41
Last column: magnetic moment on the atom in μB.
Positions (direct):
Tc1 0.665 0.665 0.000  1.19
In1 0.327 0.327 0.000  -0.02
Au1 0.008 0.008 0.000  0.05

Computed properties:
The value obtained for the formation energy is 30.8 kJ/mol of atoms. The space group is No. 107. Its distance to the lowest polymorph of the same formula is 0 meV per atom.

---

No. 15
A geometry-optimized InTcAu2 structure. Source: the Alexandria database, functional GGA-PBE.

Lattice parameters (Å, degrees): 5.611 5.611 5.611 148.10 128.22 62.12
Last column: magnetic moment on the atom in μB.
Positions (direct):
Au1 0.003 0.003 0.000  0.03
Au2 0.748 0.248 0.500  0.02
Tc1 0.251 0.751 0.500  1.34
In1 0.497 0.497 0.000  -0.02

Computed properties:
The value obtained for the formation energy is 28.0 kJ/mol of atoms. The space group is No. 44.

---

No. 16
A geometry-optimized In2TcAu structure. Source: the Alexandria database, functional GGA-PBE.

Lattice parameters (Å, degrees): 7.449 7.449 6.049 52.00 52.00 90.00
Positions (direct):
Tc1 0.250 0.750 0.500
Tc2 0.500 0.500 0.000
Au1 0.750 0.250 0.500
Au2 0.000 0.000 0.000
In1 0.626 0.125 0.250
In2 0.875 0.876 0.750
In3 0.375 0.374 0.750
In4 0.124 0.625 0.250

Computed properties:
The value obtained for the formation energy is 44.1 kJ/mol of atoms. The space group is No. 122.

---

No. 17
A geometry-optimized InTcAu2 structure. Source: the Alexandria database, functional GGA-PBE.

Lattice parameters (Å, degrees): 4.090 4.090 4.258 90.00 90.00 90.00
Last column: magnetic moment on the atom in μB.
Positions (direct):
Tc1 0.000 0.500 0.500  0.70
Au1 0.500 0.500 0.000  -0.02
Au2 0.000 0.000 0.000  -0.02
In1 0.500 0.000 0.500  -0.03

Computed properties:
The value obtained for the formation energy is 17.7 kJ/mol of atoms. The space group is No. 123.

---

No. 18
A geometry-optimized InTc2Au structure. Source: the Alexandria database, functional GGA-PBE.

Lattice parameters (Å, degrees): 4.872 4.872 5.013 80.78 80.78 35.01
Positions (direct):
Au1 0.503 0.503 0.508
Tc1 0.993 0.993 0.037
Tc2 0.257 0.257 0.217
In1 0.747 0.747 0.738

Computed properties:
The value obtained for the formation energy is 25.7 kJ/mol of atoms. The space group is No. 8.

---

No. 19
A geometry-optimized InTc2Au structure. Source: the Alexandria database, functional GGA-PBE.

Lattice parameters (Å, degrees): 4.573 4.573 4.573 60.00 60.00 60.00
Last column: magnetic moment on the atom in μB.
Positions (direct):
Au1 0.500 0.500 0.500  -0.01
Tc1 0.000 0.000 0.000  -0.24
Tc2 0.250 0.250 0.250  0.31
In1 0.750 0.750 0.750  0.00

Computed properties:
The value obtained for the formation energy is 39.9 kJ/mol of atoms. The space group is No. 216.

---

No. 20
A geometry-optimized InTcAu2 structure. Source: the Alexandria database, functional GGA-PBE.

Lattice parameters (Å, degrees): 2.964 2.964 8.203 90.00 90.00 89.97
Last column: magnetic moment on the atom in μB.
Positions (direct):
Au1 0.000 0.000 0.515  0.01
Au2 0.000 0.000 0.985  0.01
Tc1 0.500 0.500 0.750  0.73
In1 0.500 0.500 0.250  -0.01

Computed properties:
The value obtained for the formation energy is 28.4 kJ/mol of atoms. The space group is No. 123.

---

No. 21
A geometry-optimized In2TcAu structure. Source: the Alexandria database, functional GGA-PBE.

Lattice parameters (Å, degrees): 4.564 4.564 3.555 90.00 90.00 90.04
Positions (direct):
In1 0.000 0.000 0.000
In2 0.500 0.500 0.000
Au1 0.000 0.500 0.500
Tc1 0.500 0.000 0.500

Computed properties:
The value obtained for the formation energy is 11.7 kJ/mol of atoms. The space group is No. 123.

---

No. 22
A geometry-optimized In2TcAu structure. Source: the Alexandria database, functional GGA-PBE.

Lattice parameters (Å, degrees): 3.073 3.073 9.153 90.00 90.00 115.91
Last column: magnetic moment on the atom in μB.
Positions (direct):
In1 0.000 0.000 0.490  -0.01
In2 0.000 0.000 0.010  -0.01
Au1 0.500 0.500 0.750  -0.01
Tc1 0.500 0.500 0.250  0.69

Computed properties:
The value obtained for the formation energy is 26.2 kJ/mol of atoms. The space group is No. 65.

---

No. 23
A geometry-optimized In2TcAu structure. Source: the Alexandria database, functional GGA-PBE.

Lattice parameters (Å, degrees): 3.033 3.033 8.760 90.00 90.00 90.00
Last column: magnetic moment on the atom in μB.
Positions (direct):
Tc1 0.000 0.000 0.510  1.30
In1 0.000 0.000 0.976  0.01
In2 0.500 0.500 0.291  -0.01
Au1 0.500 0.500 0.723  0.07

Computed properties:
The value obtained for the formation energy is 29.8 kJ/mol of atoms. The space group is No. 99.

---

No. 24
A geometry-optimized InTcAu3 structure. Source: the Alexandria database, functional GGA-PBE.

Lattice parameters (Å, degrees): 5.126 5.126 5.126 90.00 90.00 90.00
Last column: magnetic moment on the atom in μB.
Positions (direct):
Tc1 0.000 0.000 0.000  1.90
Au1 0.000 0.000 0.500  0.22
Au2 0.000 0.500 0.000  0.13
Au3 0.500 0.000 0.000  0.07
In1 0.500 0.500 0.500  0.00

Computed properties:
The value obtained for the formation energy is 83.8 kJ/mol of atoms. The space group is No. 221. Its distance to the lowest polymorph of the same formula is 0 meV per atom.

---

No. 25
A geometry-optimized InTcAu2 structure. Source: the Alexandria database, functional GGA-PBE.

Lattice parameters (Å, degrees): 9.430 9.430 9.430 18.25 18.25 18.25
Positions (direct):
Tc1 0.749 0.749 0.749
Au1 0.251 0.251 0.251
Au2 0.004 0.004 0.004
In1 0.497 0.497 0.497

Computed properties:
The value obtained for the formation energy is 24.9 kJ/mol of atoms. The space group is No. 160.

---

No. 26
A geometry-optimized InTc4Au structure. Source: the Alexandria database, functional GGA-PBE.

Lattice parameters (Å, degrees): 5.217 5.217 5.217 60.00 60.00 60.00
Positions (direct):
Tc1 0.624 0.624 0.624
Tc2 0.624 0.128 0.624
Tc3 0.624 0.624 0.128
Tc4 0.128 0.624 0.624
In1 0.000 0.000 0.000
Au1 0.250 0.250 0.250

Computed properties:
The value obtained for the formation energy is 43.7 kJ/mol of atoms. The space group is No. 216.

---

No. 27
A geometry-optimized In2TcAu structure. Source: the Alexandria database, functional GGA-PBE.

Lattice parameters (Å, degrees): 9.298 9.298 9.298 19.29 19.29 19.29
Positions (direct):
In1 0.996 0.996 0.996
In2 0.504 0.504 0.504
Au1 0.750 0.750 0.750
Tc1 0.250 0.250 0.250

Computed properties:
The value obtained for the formation energy is 22.1 kJ/mol of atoms. The space group is No. 166.

---

No. 28
A geometry-optimized InTcAu2 structure. Source: the Alexandria database, functional GGA-PBE.

Lattice parameters (Å, degrees): 4.988 4.988 5.235 79.42 79.42 34.00
Positions (direct):
Au1 0.995 0.995 0.001
Au2 0.750 0.750 0.760
In1 0.503 0.503 0.484
Tc1 0.251 0.251 0.255

Computed properties:
The value obtained for the formation energy is 24.0 kJ/mol of atoms. The space group is No. 8.

---

No. 29
A geometry-optimized InTc2Au structure. Source: the Alexandria database, functional GGA-PBE.

Lattice parameters (Å, degrees): 3.276 4.397 4.692 90.00 90.00 90.00
Positions (direct):
In1 0.000 0.500 0.500
Tc1 0.500 0.500 0.000
Tc2 0.000 0.000 0.000
Au1 0.500 0.000 0.500

Computed properties:
The value obtained for the formation energy is 38.6 kJ/mol of atoms. The space group is No. 47.

---

No. 30
A geometry-optimized InTc2Au structure. Source: the Alexandria database, functional GGA-PBE.

Lattice parameters (Å, degrees): 3.119 4.587 5.842 53.72 90.00 90.00
Positions (direct):
Tc1 0.000 0.000 0.000
Tc2 0.500 0.500 0.000
Au1 0.500 0.500 0.500
In1 0.000 0.000 0.500

Computed properties:
The value obtained for the formation energy is 35.3 kJ/mol of atoms. The space group is No. 10.